Entry 1:
DFT (PBE) results for an optimized crystal structure of HoHf3Tl2C2.

Unit cell a=3.3886 b=3.3886 c=15.2502 alpha=90.00 beta=90.00 gamma=120.00
Last column: nearest neighbours and their distance in Å.
Positions (direct):
C 0.3333 0.6667 0.0145  3 Hf 2.25, 3 Ho 2.46
C 0.3333 0.6667 0.4957  6 Hf 2.29-2.30
Hf 0.0000 0.0000 0.5744  3 C 2.30
Hf 0.6667 0.3333 0.0870  3 C 2.25
Hf 0.6667 0.3333 0.4171  3 C 2.29
Tl 0.6667 0.3333 0.7410  3 Hf 3.21, 3 Ho 3.32, 6 Tl 3.39
Tl 0.0000 0.0000 0.2533  6 Hf 3.17-3.20, 6 Tl 3.39
Ho 0.0000 0.0000 0.9167  3 C 2.46

Values from the calculation:
- SG: No. 156
- E: -62.08 eV for the cell shown


Entry 2:
DFT (PBE) results for an optimized crystal structure of ThZnCd.

Unit cell a=4.7689 b=4.7689 c=4.7689 alpha=60.00 beta=60.00 gamma=60.00
Last column: nearest neighbours and their distance in Å.
Positions (direct):
Zn 0.0000 0.0000 0.0000  4 Cd 2.92, 4 Th 2.92
Cd 0.2500 0.2500 0.2500  4 Zn 2.92
Th 0.7500 0.7500 0.7500  4 Zn 2.92

Values from the calculation:
- SG: No. 216
- Energy relative to the elements: -0.104 eV per atom


Entry 3:
DFT (PBE) results for an optimized crystal structure of YB4Pt.

Unit cell a=4.9571 b=4.9571 c=4.9571 alpha=142.75 beta=115.66 gamma=76.76
Last column: nearest neighbours and their distance in Å.
Positions (direct):
Pt 0.0000 0.0000 0.0000  12 B 2.52-2.74
B 0.9168 0.2389 0.6779  3 B 1.77-1.88
B 0.0832 0.7611 0.3221  3 B 1.77-1.88
B 0.5610 0.2389 0.3221  3 B 1.77-1.88
B 0.4390 0.7611 0.6779  3 B 1.77-1.88
Y 0.5000 0.5000 0.0000  12 B 2.61-2.65

Values from the calculation:
- SG: No. 71
- Energy above the most stable polymorph in this dataset: 0 meV/atom


Entry 4:
DFT (PBE) results for an optimized crystal structure of Ba3P4Pd4.

Unit cell a=4.2744 b=4.5529 c=12.4781 alpha=90.00 beta=90.00 gamma=90.00
Last column: nearest neighbours and their distance in Å.
Positions (direct):
Pd 0.5000 0.5000 0.8081  3 P 2.47-2.51
Pd 0.5000 0.0000 0.5000  4 P 2.64
Pd 0.0000 0.5000 0.5000  4 P 2.52
Pd 0.5000 0.5000 0.1919  3 P 2.47-2.51
Ba 0.0000 0.0000 0.2961  8 Pd 3.32-3.41, 6 P 3.35-3.41
Ba 0.5000 0.0000 0.0000  4 Pd 3.30, 8 P 3.33
Ba 0.0000 0.0000 0.7039  8 Pd 3.32-3.41, 6 P 3.35-3.41
P 0.5000 0.5000 0.3932  5 Pd 2.51-2.64, 1 P 2.67
P 0.0000 0.5000 0.9072  1 P 2.32, 2 Pd 2.47
P 0.0000 0.5000 0.0928  1 P 2.32, 2 Pd 2.47
P 0.5000 0.5000 0.6068  5 Pd 2.51-2.64, 1 P 2.67

Values from the calculation:
- SG: No. 47
- E: -57.61 eV for the cell shown


Copy entry 3 word for word.
DFT (PBE) results for an optimized crystal structure of YB4Pt.

Unit cell a=4.9571 b=4.9571 c=4.9571 alpha=142.75 beta=115.66 gamma=76.76
Last column: nearest neighbours and their distance in Å.
Positions (direct):
Pt 0.0000 0.0000 0.0000  12 B 2.52-2.74
B 0.9168 0.2389 0.6779  3 B 1.77-1.88
B 0.0832 0.7611 0.3221  3 B 1.77-1.88
B 0.5610 0.2389 0.3221  3 B 1.77-1.88
B 0.4390 0.7611 0.6779  3 B 1.77-1.88
Y 0.5000 0.5000 0.0000  12 B 2.61-2.65

Values from the calculation:
- SG: No. 71
- Energy above the most stable polymorph in this dataset: 0 meV/atom


What is the formula in the second record? ThZnCd